[1]
Below is a geometry-optimized Mg2TaPb2 structure, with properties calculated at the GGA-PBE level.

```
Mg2TaPb2
1.0
4.319 0.000 0.000
0.000 4.319 0.000
2.159 2.159 7.041
Mg Ta Pb
2 1 2
Direct
0.593 0.593 0.815
0.407 0.407 0.185
0.000 0.000 0.000
0.250 0.750 0.500
0.750 0.250 0.500
```

Results
Density of states at the Fermi level ... 3.60 states/eV/cell
Energy above the lowest structure with this stoichiometry ... 307.9 meV per atom

[2]
Below is a geometry-optimized MgTaPb2 structure, with properties calculated at the GGA-PBE level.

```
MgTaPb2
1.0
5.343 0.226 0.000
-0.881 5.275 0.000
0.000 0.000 3.253
Ta Mg Pb
1 1 2
Direct
0.500 0.000 0.500
0.000 0.500 0.500
0.500 0.500 0.000
0.000 0.000 0.000
```

Results
Density of states at the Fermi level ... 1.95 states/eV/cell

[3]
Below is a geometry-optimized MgTaPb structure, with properties calculated at the GGA-PBE level.

```
MgTaPb
1.0
-6.709 -1.928 3.255
-6.991 -2.918 0.372
0.628 -2.617 1.460
Pb Mg Ta
1 1 1
Direct
0.323 0.323 0.677
0.015 0.015 0.985
0.662 0.662 0.338
```

Results
Density of states at the Fermi level ... 2.26 states/eV/cell

[4]
Below is a geometry-optimized MgTa2Pb structure, with properties calculated at the GGA-PBE level.

```
MgTa2Pb
1.0
-0.434 2.272 -4.514
-1.700 -2.308 -0.998
-4.507 2.328 1.605
Ta Pb Mg
2 1 1
Direct
0.000 0.976 0.016
0.000 0.524 0.484
0.500 0.750 0.750
0.500 0.250 0.250
```

Results
Density of states at the Fermi level ... 2.86 states/eV/cell

[5]
Below is a geometry-optimized MgTaPb2 structure, with properties calculated at the GGA-PBE level.

```
MgTaPb2
1.0
3.936 0.000 0.000
0.000 3.936 0.000
0.000 0.000 6.034
Mg Pb Ta
1 2 1
Direct
0.500 0.500 0.748
0.500 0.500 0.283
0.000 0.000 0.977
0.000 0.000 0.492
```

Results
Density of states at the Fermi level ... 2.24 states/eV/cell

[6]
Below is a geometry-optimized MgTaPb2 structure, with properties calculated at the GGA-PBE level.

```
MgTaPb2
1.0
3.216 0.000 0.000
0.000 5.815 0.000
0.000 0.000 5.099
Pb Ta Mg
2 1 1
Direct
0.000 0.000 0.000
0.500 0.500 0.000
0.500 0.000 0.500
0.000 0.500 0.500
```

Results
Density of states at the Fermi level ... 1.48 states/eV/cell

[7]
Below is a geometry-optimized Mg2TaPb structure, with properties calculated at the GGA-PBE level.

```
Mg2TaPb
1.0
-2.761 -1.507 -3.089
3.290 -2.045 -1.943
-0.769 -3.522 2.406
Mg Ta Pb
2 1 1
Direct
0.000 0.000 0.000
0.000 0.500 0.500
0.500 0.000 0.500
0.500 0.500 0.000
```

Results
Density of states at the Fermi level ... 2.40 states/eV/cell

[8]
Below is a geometry-optimized MgTaPb2 structure, with properties calculated at the GGA-PBE level.

```
MgTaPb2
1.0
5.925 -0.001 0.000
2.889 5.173 0.000
-4.407 -2.586 3.000
Pb Mg Ta
2 1 1
Direct
0.250 0.750 0.500
0.000 0.000 0.000
0.750 0.250 0.500
0.500 0.500 0.000
```

Results
Density of states at the Fermi level ... 3.40 states/eV/cell

no.,E_tot (eV per atom),formation energy from the elements (meV/atom),size of the total moment (μB/f.u.)
1,-3.613,879,2.08
2,-4.755,461,0.00
3,-5.372,347,0.00
4,-6.864,388,0.00
5,-4.790,426,0.00
6,-4.733,483,0.00
7,-4.331,357,0.00
8,-4.760,456,0.00